Compound: Sc5SiTe4
Source: Alexandria
Functional: PBE-GGA
Structure: relaxed

Its formation energy (no corrections) is -10.85 eV per formula unit. The calculation puts the density of states at the Fermi level at 6.42 states/eV/cell.

Unit cell a=7.1440 b=7.1440 c=7.1440 alpha=99.38 beta=99.38 gamma=132.39
Positions (direct):
Sc: 0.0000 0.0000 0.0000
Sc: 0.2340 0.4058 0.6397
Sc: 0.4058 0.7660 0.1718
Sc: 0.5942 0.2340 0.8282
Sc: 0.7660 0.5942 0.3603
Si: 0.5000 0.5000 0.0000
Te: 0.0915 0.6935 0.7851
Te: 0.3065 0.0915 0.3980
Te: 0.6935 0.9085 0.6020
Te: 0.9085 0.3065 0.2149

=====

Compound: ScCdC3
Source: Alexandria
Functional: PBE-GGA
Structure: relaxed

Its formation energy is 2264 meV per atom. The relative energy among the computed polymorphs comes out at 0 meV per atom. The calculation puts the density of states at the Fermi level at 4.28 states/eV/cell.

Unit cell a=4.2746 b=4.2746 c=4.2746 alpha=90.00 beta=90.00 gamma=90.00
Positions (direct):
Sc: 0.0000 0.0000 0.0000
Cd: 0.5000 0.5000 0.5000
C: 0.0000 0.0000 0.5000
C: 0.0000 0.5000 0.0000
C: 0.5000 0.0000 0.0000

=====

Compound: YCr2Br
Source: Alexandria
Functional: PBE-GGA
Structure: relaxed

Its formation energy (no corrections) is 3.45 eV per formula unit. The relative energy among the computed polymorphs comes out at 844 meV per atom. The calculation puts the density of states at the Fermi level at 4.81 states/eV/cell.

Unit cell a=4.9995 b=4.9995 c=4.9995 alpha=60.00 beta=60.00 gamma=60.00
Positions (direct):
Y: 0.0000 0.0000 0.0000
Cr: 0.2500 0.2500 0.2500
Cr: 0.7500 0.7500 0.7500
Br: 0.5000 0.5000 0.5000

=====

Compound: TaNbTcMo
Source: Alexandria
Functional: PBE-GGA
Structure: relaxed

Its formation energy is -301 meV per atom. The relative energy among the computed polymorphs comes out at 2 meV per atom. The calculation puts the density of states at the Fermi level at 2.49 states/eV/cell.

Unit cell a=3.2054 b=4.5328 c=4.5570 alpha=90.00 beta=90.00 gamma=90.00
Positions (direct):
Ta: 0.0000 0.0000 0.0000
Nb: 0.0000 0.5000 0.5000
Tc: 0.5000 0.5000 0.0000
Mo: 0.5000 0.0000 0.5000

=====

Compound: SbP2AuO8
Source: Alexandria
Functional: PBE-GGA
Structure: relaxed

Its formation energy (no corrections) is -19.19 eV per formula unit.

Unit cell a=4.9875 b=4.9875 c=8.7830 alpha=100.31 beta=100.31 gamma=63.58
Positions (direct):
Sb: 0.0000 0.0000 0.0000
P: 0.3115 0.3115 0.8110
P: 0.6885 0.6885 0.1890
Au: 0.0000 0.0000 0.5000
O: 0.1863 0.6643 0.8370
O: 0.2142 0.2142 0.9430
O: 0.2203 0.2203 0.6457
O: 0.3357 0.8137 0.1630
O: 0.6643 0.1863 0.8370
O: 0.7797 0.7797 0.3543
O: 0.7858 0.7858 0.0570
O: 0.8137 0.3357 0.1630

=====

Compound: GaNi5Rh4
Source: Alexandria
Functional: PBE-GGA
Structure: relaxed

Its formation energy is 43 meV per atom. The calculation puts the density of states at the Fermi level at 16.36 states/eV/cell.

Unit cell a=6.4271 b=6.4271 c=8.2448 alpha=108.12 beta=108.12 gamma=23.89
Positions (direct):
Ga: 0.0000 0.0000 0.0000
Ni: 0.0000 0.0000 0.5000
Ni: 0.2766 0.2766 0.8809
Ni: 0.3177 0.3177 0.4246
Ni: 0.6823 0.6823 0.5754
Ni: 0.7234 0.7234 0.1191
Rh: 0.1148 0.1148 0.2972
Rh: 0.4141 0.4141 0.2011
Rh: 0.5859 0.5859 0.7989
Rh: 0.8852 0.8852 0.7028

=====

Compound: Te2AsBr
Source: Alexandria
Functional: PBE-GGA
Structure: relaxed

Its formation energy (no corrections) is 1.07 eV per formula unit. The relative energy among the computed polymorphs comes out at 334 meV per atom. The calculation puts the density of states at the Fermi level at 2.49 states/eV/cell.

Unit cell a=4.3662 b=4.2643 c=6.1531 alpha=90.00 beta=90.25 gamma=90.00
Positions (direct):
Te: 0.0000 0.0000 0.0000
Te: 0.5000 0.5000 0.5000
As: 0.0000 0.0000 0.5000
Br: 0.5000 0.5000 0.0000

=====

Compound: ReSiSCl2
Source: Alexandria
Functional: PBE-GGA
Structure: relaxed

Its formation energy (no corrections) is 3.00 eV per formula unit. The relative energy among the computed polymorphs comes out at 0 meV per atom. The calculation puts the density of states at the Fermi level at 4.18 states/eV/cell.

Unit cell a=4.8983 b=4.8983 c=4.5087 alpha=90.00 beta=90.00 gamma=90.00
Positions (direct):
Re: 0.0000 0.0000 0.0000
Si: 0.5000 0.5000 0.5000
S: 0.0000 0.0000 0.5000
Cl: 0.0000 0.5000 0.0000
Cl: 0.5000 0.0000 0.0000